# 1
Here is a relaxed structure of Tl2PPt from Alexandria via LeMat-Bulk. Energies are from PBE.

offset from the most stable computed form: 0.0680 eV per atom
ΔE_f: -0.03 eV/atom

Lattice parameters (Å, degrees): 7.306 7.306 7.306 152.50 145.32 44.82
Fractional positions:
Tl (0.973, 0.973, 0.000)
Tl (0.271, 0.771, 0.500)
P (0.573, 0.573, 0.000)
Pt (0.683, 0.183, 0.500)



# 2
Here is a relaxed structure of TlP2Pt from Alexandria via LeMat-Bulk. Energies are from PBE.

offset from the most stable computed form: 0.8611 eV per atom
ΔE_f: 0.59 eV/atom

Lattice parameters (Å, degrees): 3.578 4.123 4.989 90.00 90.00 90.00
Fractional positions:
P (0.000, 0.000, 0.000)
P (0.500, 0.500, 0.000)
Pt (0.500, 0.000, 0.500)
Tl (0.000, 0.500, 0.500)



# 3
Here is a relaxed structure of TlPPt2 from Alexandria via LeMat-Bulk. Energies are from PBE.

offset from the most stable computed form: 0.5108 eV per atom
ΔE_f: 0.31 eV/atom

Lattice parameters (Å, degrees): 3.002 4.589 5.145 90.00 90.00 90.00
Fractional positions:
Tl (0.500, 0.500, 0.000)
P (0.000, 0.500, 0.500)
Pt (0.000, 0.000, 0.000)
Pt (0.500, 0.000, 0.500)



# 4
Here is a relaxed structure of TlP2Pt from Alexandria via LeMat-Bulk. Energies are from PBE.

offset from the most stable computed form: 0.8854 eV per atom
ΔE_f: 0.61 eV/atom

Lattice parameters (Å, degrees): 4.678 4.678 4.678 60.00 60.00 60.00
Fractional positions:
P (0.000, 0.000, 0.000)
P (0.250, 0.250, 0.250)
Pt (0.500, 0.500, 0.500)
Tl (0.750, 0.750, 0.750)



# 5
Here is a relaxed structure of TlP4Pt from Alexandria via LeMat-Bulk. Energies are from PBE.

ΔE_f: 0.55 eV/atom

Lattice parameters (Å, degrees): 5.634 5.634 5.634 60.00 60.00 60.00
Fractional positions:
Tl (0.000, 0.000, 0.000)
P (0.599, 0.599, 0.203)
P (0.599, 0.203, 0.599)
P (0.599, 0.599, 0.599)
P (0.203, 0.599, 0.599)
Pt (0.250, 0.250, 0.250)



# 6
Here is a relaxed structure of TlP2Pt from Alexandria via LeMat-Bulk. Energies are from PBE.

offset from the most stable computed form: 0.3539 eV per atom
ΔE_f: 0.08 eV/atom

Lattice parameters (Å, degrees): 3.418 3.414 6.949 90.00 90.00 90.00
Fractional positions:
P (0.000, 0.000, 0.096)
P (0.000, 0.000, 0.404)
Pt (0.500, 0.500, 0.250)
Tl (0.500, 0.500, 0.750)



# 7
Here is a relaxed structure of TlP2Pt from Alexandria via LeMat-Bulk. Energies are from PBE.

offset from the most stable computed form: 0.0943 eV per atom
ΔE_f: -0.18 eV/atom

Lattice parameters (Å, degrees): 3.872 3.872 6.795 73.91 73.91 58.84
Fractional positions:
P (0.972, 0.972, 0.093)
P (0.528, 0.528, 0.407)
Pt (0.250, 0.250, 0.250)
Tl (0.750, 0.750, 0.750)



# 8
Here is a relaxed structure of TlP2Pt from Alexandria via LeMat-Bulk. Energies are from PBE.

offset from the most stable computed form: 0.5064 eV per atom
ΔE_f: 0.23 eV/atom

Lattice parameters (Å, degrees): 3.191 3.191 7.719 90.00 90.00 90.00
Fractional positions:
P (0.000, 0.000, 0.111)
P (0.500, 0.500, 0.245)
Pt (0.000, 0.000, 0.425)
Tl (0.500, 0.500, 0.720)



# 9
Here is a relaxed structure of TlPPt2 from Alexandria via LeMat-Bulk. Energies are from PBE.

offset from the most stable computed form: 0.0824 eV per atom
ΔE_f: -0.12 eV/atom

Lattice parameters (Å, degrees): 7.165 7.165 7.165 28.86 28.86 28.86
Fractional positions:
Tl (0.000, 0.000, 0.000)
P (0.500, 0.500, 0.500)
Pt (0.771, 0.771, 0.771)
Pt (0.229, 0.229, 0.229)



# 10
Here is a relaxed structure of Tl2PPt from Alexandria via LeMat-Bulk. Energies are from PBE.

offset from the most stable computed form: 0.4892 eV per atom
ΔE_f: 0.39 eV/atom

Lattice parameters (Å, degrees): 3.793 4.115 5.633 90.00 90.00 90.00
Fractional positions:
Tl (0.000, 0.000, 0.000)
Tl (0.000, 0.500, 0.500)
P (0.500, 0.500, 0.000)
Pt (0.500, 0.000, 0.500)



# 11
Here is a relaxed structure of TlP2Pt from Alexandria via LeMat-Bulk. Energies are from PBE.

offset from the most stable computed form: 0.1711 eV per atom
ΔE_f: -0.10 eV/atom

Lattice parameters (Å, degrees): 4.286 4.286 6.236 78.33 78.33 53.90
Fractional positions:
P (0.044, 0.044, 0.082)
P (0.174, 0.174, 0.357)
Pt (0.485, 0.485, 0.326)
Tl (0.796, 0.796, 0.735)



# 12
Here is a relaxed structure of Tl2PPt from Alexandria via LeMat-Bulk. Energies are from PBE.

offset from the most stable computed form: 0.5152 eV per atom
ΔE_f: 0.42 eV/atom

Lattice parameters (Å, degrees): 4.950 4.950 4.950 60.00 60.00 60.00
Fractional positions:
Tl (0.000, 0.000, 0.000)
Tl (0.750, 0.750, 0.750)
P (0.500, 0.500, 0.500)
Pt (0.250, 0.250, 0.250)



# 13
Here is a relaxed structure of TlP2Pt from Alexandria via LeMat-Bulk. Energies are from PBE.

offset from the most stable computed form: 0.7965 eV per atom
ΔE_f: 0.52 eV/atom

Lattice parameters (Å, degrees): 4.584 4.584 3.722 90.00 90.00 108.55
Fractional positions:
P (0.000, 0.000, 0.000)
P (0.500, 0.500, 0.000)
Pt (0.500, 0.000, 0.500)
Tl (0.000, 0.500, 0.500)



# 14
Here is a relaxed structure of Tl2PPt from Alexandria via LeMat-Bulk. Energies are from PBE.

offset from the most stable computed form: 0.5117 eV per atom
ΔE_f: 0.42 eV/atom

Lattice parameters (Å, degrees): 3.251 3.251 8.055 90.00 90.00 90.00
Fractional positions:
Tl (0.000, 0.000, 0.743)
Tl (0.000, 0.000, 0.257)
P (0.500, 0.500, 0.000)
Pt (0.500, 0.500, 0.500)



# 15
Here is a relaxed structure of TlP2Pt from Alexandria via LeMat-Bulk. Energies are from PBE.

offset from the most stable computed form: 0.5905 eV per atom
ΔE_f: 0.32 eV/atom

Lattice parameters (Å, degrees): 3.845 3.844 5.180 89.95 90.00 90.00
Fractional positions:
P (0.000, 0.000, 0.000)
P (0.500, 0.500, 0.000)
Pt (0.500, 0.500, 0.500)
Tl (0.000, 0.000, 0.500)



# 16
Here is a relaxed structure of Tl2PPt6 from Alexandria via LeMat-Bulk. Energies are from PBE.

ΔE_f: -0.16 eV/atom

Lattice parameters (Å, degrees): 5.679 5.656 6.050 75.23 90.00 120.14
Fractional positions:
Tl (0.634, 0.268, 0.184)
Tl (0.366, 0.732, 0.816)
P (0.000, 0.000, 0.000)
Pt (0.882, 0.269, 0.705)
Pt (0.879, 0.758, 0.717)
Pt (0.386, 0.269, 0.705)
Pt (0.118, 0.731, 0.295)
Pt (0.121, 0.242, 0.283)
Pt (0.614, 0.731, 0.295)



# 17
Here is a relaxed structure of TlP2Pt from Alexandria via LeMat-Bulk. Energies are from PBE.

offset from the most stable computed form: 0.8971 eV per atom
ΔE_f: 0.62 eV/atom

Lattice parameters (Å, degrees): 5.549 5.549 2.909 85.21 85.21 122.79
Fractional positions:
Tl (0.000, 0.000, 0.500)
P (0.500, 0.000, 0.000)
P (0.000, 0.500, 0.000)
Pt (0.500, 0.500, 0.500)



# 18
Here is a relaxed structure of TlP3Pt from Alexandria via LeMat-Bulk. Energies are from PBE.

offset from the most stable computed form: 0.0000 eV per atom
ΔE_f: 0.68 eV/atom

Lattice parameters (Å, degrees): 4.802 4.802 4.802 90.00 90.00 90.00
Fractional positions:
P (0.000, 0.500, 0.000)
P (0.000, 0.000, 0.500)
P (0.500, 0.000, 0.000)
Tl (0.500, 0.500, 0.500)
Pt (0.000, 0.000, 0.000)



# 19
Here is a relaxed structure of TlP2Pt from Alexandria via LeMat-Bulk. Energies are from PBE.

offset from the most stable computed form: 0.2474 eV per atom
ΔE_f: -0.03 eV/atom

Lattice parameters (Å, degrees): 5.880 5.880 6.978 65.08 65.08 90.00
Fractional positions:
P (0.559, 0.125, 0.250)
P (0.191, 0.625, 0.250)
P (0.375, 0.441, 0.750)
P (0.875, 0.809, 0.750)
Tl (0.000, 0.000, 0.000)
Tl (0.750, 0.250, 0.500)
Pt (0.500, 0.500, 0.000)
Pt (0.250, 0.750, 0.500)



# 20
Here is a relaxed structure of TlP2Pt from Alexandria via LeMat-Bulk. Energies are from PBE.

offset from the most stable computed form: 0.8763 eV per atom
ΔE_f: 0.60 eV/atom

Lattice parameters (Å, degrees): 4.933 4.933 2.970 90.00 90.00 90.00
Fractional positions:
P (0.000, 0.000, 0.000)
P (0.500, 0.500, 0.000)
Pt (0.500, 0.000, 0.500)
Tl (0.000, 0.500, 0.500)



# 21
Here is a relaxed structure of TlPPt2 from Alexandria via LeMat-Bulk. Energies are from PBE.

offset from the most stable computed form: 0.0206 eV per atom
ΔE_f: -0.18 eV/atom

Lattice parameters (Å, degrees): 4.366 4.366 6.075 84.29 84.29 44.25
Fractional positions:
Tl (0.497, 0.497, 0.521)
P (0.275, 0.275, 0.068)
Pt (0.981, 0.981, 0.113)
Pt (0.748, 0.748, 0.798)



# 22
Here is a relaxed structure of Tl2PPt from Alexandria via LeMat-Bulk. Energies are from PBE.

offset from the most stable computed form: 0.0537 eV per atom
ΔE_f: -0.04 eV/atom

Lattice parameters (Å, degrees): 4.954 4.954 7.042 66.31 66.31 42.20
Fractional positions:
Tl (0.052, 0.052, 0.936)
Tl (0.202, 0.202, 0.302)
P (0.405, 0.405, 0.521)
Pt (0.841, 0.841, 0.741)



# 23
Here is a relaxed structure of TlP2Pt from Alexandria via LeMat-Bulk. Energies are from PBE.

offset from the most stable computed form: 0.3219 eV per atom
ΔE_f: 0.05 eV/atom

Lattice parameters (Å, degrees): 7.400 7.400 7.400 27.03 27.03 27.03
Fractional positions:
P (0.979, 0.979, 0.979)
P (0.252, 0.252, 0.252)
Pt (0.519, 0.519, 0.519)
Tl (0.750, 0.750, 0.750)



# 24
Here is a relaxed structure of Tl2PPt from Alexandria via LeMat-Bulk. Energies are from PBE.

offset from the most stable computed form: 0.5188 eV per atom
ΔE_f: 0.42 eV/atom

Lattice parameters (Å, degrees): 5.175 5.175 5.175 127.44 127.44 77.53
Fractional positions:
Tl (0.750, 0.250, 0.500)
Tl (0.250, 0.750, 0.500)
P (0.500, 0.500, 0.000)
Pt (0.000, 0.000, 0.000)



# 25
Here is a relaxed structure of TlPPt2 from Alexandria via LeMat-Bulk. Energies are from PBE.

offset from the most stable computed form: 0.0829 eV per atom
ΔE_f: -0.12 eV/atom

Lattice parameters (Å, degrees): 3.447 3.447 6.150 90.00 90.00 90.00
Fractional positions:
Tl (0.000, 0.000, 0.477)
P (0.500, 0.500, 0.848)
Pt (0.000, 0.000, 0.950)
Pt (0.500, 0.500, 0.225)



# 26
Here is a relaxed structure of TlPPt4 from Alexandria via LeMat-Bulk. Energies are from PBE.

offset from the most stable computed form: 0.0377 eV per atom
ΔE_f: -0.16 eV/atom

Lattice parameters (Å, degrees): 3.954 7.103 8.096 90.00 104.13 90.00
Fractional positions:
Tl (0.408, 0.750, 0.817)
Tl (0.592, 0.250, 0.183)
P (0.101, 0.750, 0.202)
P (0.899, 0.250, 0.798)
Pt (0.179, 0.465, 0.357)
Pt (0.821, 0.535, 0.643)
Pt (0.179, 0.035, 0.357)
Pt (0.821, 0.965, 0.643)
Pt (0.679, 0.750, 0.358)
Pt (0.321, 0.250, 0.642)
Pt (0.000, 0.500, 0.000)
Pt (0.000, 0.000, 0.000)



# 27
Here is a relaxed structure of TlPPt4 from Alexandria via LeMat-Bulk. Energies are from PBE.

offset from the most stable computed form: 0.0000 eV per atom
ΔE_f: -0.20 eV/atom

Lattice parameters (Å, degrees): 6.205 5.354 7.063 93.74 115.97 90.01
Fractional positions:
Tl (0.854, 0.750, 0.999)
Tl (0.146, 0.250, 0.001)
P (0.500, 0.000, 0.500)
P (0.000, 0.500, 0.500)
Pt (0.464, 0.102, 0.806)
Pt (0.660, 0.398, 0.193)
Pt (0.536, 0.898, 0.194)
Pt (0.340, 0.602, 0.807)
Pt (0.905, 0.882, 0.626)
Pt (0.279, 0.618, 0.374)
Pt (0.095, 0.118, 0.374)
Pt (0.721, 0.382, 0.626)



# 28
Here is a relaxed structure of TlPPt2 from Alexandria via LeMat-Bulk. Energies are from PBE.

offset from the most stable computed form: 0.4454 eV per atom
ΔE_f: 0.25 eV/atom

Lattice parameters (Å, degrees): 4.588 4.588 3.313 90.00 90.00 90.00
Fractional positions:
Tl (0.500, 0.500, 0.500)
P (0.000, 0.000, 0.500)
Pt (0.500, 0.000, 0.000)
Pt (0.000, 0.500, 0.000)



# 29
Here is a relaxed structure of TlPPt4 from Alexandria via LeMat-Bulk. Energies are from PBE.

offset from the most stable computed form: 0.5052 eV per atom
ΔE_f: 0.31 eV/atom

Lattice parameters (Å, degrees): 5.355 5.355 5.355 60.00 60.00 60.00
Fractional positions:
Tl (0.750, 0.750, 0.750)
P (0.000, 0.000, 0.000)
Pt (0.876, 0.375, 0.375)
Pt (0.375, 0.375, 0.876)
Pt (0.375, 0.876, 0.375)
Pt (0.375, 0.375, 0.375)